VASP calculation (PBE) on an optimized crystal structure of UAs3Rh3.

Cell: 6.675 6.675 6.675 Å, 90.00 90.00 90.00°
Space group Pm-3n (No. 223)
Symmetry-distinct sites (fractional):
U1 0.000 0.000 0.000 [2 per cell]
As1 0.000 0.250 0.500 [6 per cell]
Rh1 0.000 0.500 0.250 [6 per cell]

Calculated values
Density of states at the Fermi level   19.43 states/eV per cell
Total magnetic moment   6.15 μB per cell
Crystal system   cubic
Total energy   -95.8 eV for the cell shown